Here is an optimized crystal structure of Dy3Tm2Tl4 from the Alexandria database. Energies are from PBE-GGA.

- magnetic moment (μB/f.u.) = 0.000
- energy relative to the elements (eV per formula unit) = -1.46
- electronic total energy (eV/f.u.) = -33.7
- relative energy among the computed polymorphs (meV per atom) = 99
- volume (Å³ per atom) = 29.49

The structure in POSCAR format:
```
Dy3Tm2Tl4
1.0
3.565 -7.733 0.000
3.565 7.733 0.000
0.000 0.000 9.629
Dy Tm Tl
6 4 8
Direct
0.000 0.000 0.000 Dy
0.038 0.462 0.250 Dy
0.462 0.038 0.750 Dy
0.500 0.500 0.500 Dy
0.538 0.962 0.250 Dy
0.962 0.538 0.750 Dy
0.107 0.893 0.448 Tm
0.393 0.607 0.948 Tm
0.607 0.393 0.052 Tm
0.893 0.107 0.552 Tm
0.196 0.804 0.029 Tl
0.242 0.258 0.250 Tl
0.258 0.242 0.750 Tl
0.304 0.696 0.529 Tl
0.696 0.304 0.471 Tl
0.742 0.758 0.250 Tl
0.758 0.742 0.750 Tl
0.804 0.196 0.971 Tl
```